Entry 1:
Material: KRbF2
Method: DFT, PBE
State: relaxed

a b c (Å): 3.9375 3.9375 19.3127
angles (deg): 90.00 90.00 120.00
Space group R-3m (No. 166, hexagonal axes)
Unique sites:
K: 0.0000 0.0000 0.0000 x3
Rb: 0.0000 0.0000 0.5000 x3
F: 0.0000 0.0000 0.2544 x6

Calculated values
formation energy without anion corrections = -2.69 eV/atom
total energy = -4.14 eV/atom
calculated volume = 259 Å³/cell
E above lowest polymorph = 0.0 meV per atom


Entry 2:
Material: Mg2AlRu2
Method: DFT, PBE
State: relaxed

a b c (Å): 6.350 6.350 4.218
angles (deg): 90.00 90.00 90.00
Space group P4/mbm (No. 127)
Unique sites:
Mg: 0.167 0.333 0.000 x4
Al: 0.000 0.000 0.500 x2
Ru: 0.137 0.637 0.500 x4

Calculated values
ΔH_f (0 K) = -3.7 kcal/mol of atoms
total energy = -5.26 eV/atom
calculated volume = 170 Å³/cell


Entry 3:
Material: Na2TmMnSe4
Method: DFT, PBE
State: relaxed

a b c (Å): 6.791 3.984 7.354
angles (deg): 90.00 107.99 90.00
Space group P2/m (No. 10)
Unique sites:
Na: 0.000 0.000 0.000 x1
Na: 0.500 0.500 0.000 x1
Tm: 0.000 0.500 0.500 x1
Mn: 0.500 0.000 0.500 x1
Se: 0.260 0.000 0.719 x2
Se: 0.277 0.500 0.286 x2

Calculated values
formation energy without anion corrections = -1.17 eV/atom
total energy = -4.95 eV/atom
calculated volume = 189 Å³/cell


Entry 4:
Material: LaMg2Ru
Method: DFT, PBE
State: relaxed

a b c (Å): 3.369 5.043 10.268
angles (deg): 90.00 90.00 90.00
Space group Cmmm (No. 65)
Unique sites:
La: 0.000 0.000 0.000 x2
Mg: 0.000 0.500 0.302 x4
Ru: 0.000 0.000 0.500 x2

Calculated values
ΔH_f (0 K) = 5.3 kcal/mol of atoms
total energy = -4.12 eV/atom
calculated volume = 174 Å³/cell


Entry 5:
Material: MgBeCdH6
Method: DFT, PBE
State: relaxed

a b c (Å): 4.6306 4.6306 4.3059
angles (deg): 90.00 90.00 120.00
Space group P312 (No. 149)
Unique sites:
Mg: 0.0000 0.0000 0.0000 x1
Be: 0.3333 0.6667 0.0000 x1
Cd: 0.6667 0.3333 0.5000 x1
H: 0.0448 0.3805 0.2229 x6

Calculated values
total energy = -2.86 eV/atom
calculated volume = 80 Å³/cell


Entry 6:
Material: K2BePSe
Method: DFT, PBE
State: relaxed

a b c (Å): 6.225 6.225 4.780
angles (deg): 90.00 90.00 90.00
Space group P4/mmm (No. 123)
Unique sites:
K: 0.000 0.500 0.000 x2
Be: 0.000 0.000 0.500 x1
P: 0.500 0.500 0.000 x1
Se: 0.500 0.500 0.500 x1

Calculated values
formation energy without anion corrections = 0.45 eV/atom
total energy = -2.52 eV/atom
calculated volume = 185 Å³/cell


Entry 7:
Material: CuTcCl2
Method: DFT, PBE
State: relaxed

a b c (Å): 3.405 3.639 14.723
angles (deg): 90.00 90.00 90.00
Space group Imm2 (No. 44)
Unique sites:
Cu: 0.000 0.000 0.000 x2
Tc: 0.000 0.500 0.630 x2
Cl: 0.000 0.000 0.464 x2
Cl: 0.000 0.500 0.207 x2

Calculated values
formation energy without anion corrections = 0.33 eV/atom
total energy = -4.21 eV/atom
calculated volume = 182 Å³/cell
E above lowest polymorph = 331.6 meV per atom


Entry 8:
Material: NiAs2
Method: DFT, PBE
State: relaxed

a b c (Å): 2.9210 2.9210 7.4940
angles (deg): 90.00 90.00 120.00
Space group P-3m1 (No. 164)
Unique sites:
Ni: 0.0000 0.0000 0.0000 x1
As: 0.3333 0.6667 0.2414 x2

Calculated values
ΔH_f (0 K) = 0.1 kcal/mol of atoms
total energy = -5.02 eV/atom
calculated volume = 55 Å³/cell


no.,total magnetic moment (μB per formula unit)
1,0.2
2,1.0
3,4.0
4,0.6
5,0.0
6,0.0
7,4.0
8,0.0